## Pm3S2 (GGA-PBE)

Data for a geometry-optimized Pm3S2 structure.

Cell: 7.6324 7.6324 7.6324 Å, 53.99 53.99 53.99°
Last column: nearest neighbours and their distance in Å.
Element x y z (fractional)
Pm: 0.0797 0.7500 0.4203  4 S 2.79-2.85
Pm: 0.2500 0.5797 0.9203  4 S 2.79-2.85
Pm: 0.4203 0.0797 0.7500  4 S 2.79-2.85
Pm: 0.5797 0.9203 0.2500  4 S 2.79-2.85
Pm: 0.7500 0.4203 0.0797  4 S 2.79-2.85
Pm: 0.9203 0.2500 0.5797  4 S 2.79-2.85
S: 0.1628 0.1628 0.1628  6 Pm 2.79-2.85
S: 0.3372 0.3372 0.3372  6 Pm 2.79-2.85
S: 0.6628 0.6628 0.6628  6 Pm 2.79-2.85
S: 0.8372 0.8372 0.8372  6 Pm 2.79-2.85

## Properties
V	27.02	A^3/atom
spin magnetization	0.0	μB/f.u.
E above lowest polymorph	24.4	meV/atom
uncorrected formation energy	-1.544	eV per atom
DFT total energy	-6.045	eV per atom

## Ac8In2Au (GGA-PBE)

Data for a geometry-optimized Ac8In2Au structure.

Cell: 10.6860 10.6860 7.5313 Å, 101.99 101.99 30.45°
Last column: nearest neighbours and their distance in Å.
Element x y z (fractional)
Ac: 0.0183 0.0183 0.2739  2 Au 3.35, 1 In 3.50, 1 Ac 3.64
Ac: 0.2095 0.2095 0.8089  3 In 3.45-3.62, 2 Ac 3.77
Ac: 0.3476 0.3476 0.5228  1 Au 3.18, 3 In 3.44-3.52
Ac: 0.4080 0.4080 0.0410  1 Au 3.57, 4 Ac 3.80-3.97, 2 In 3.82
Ac: 0.5920 0.5920 0.9590  1 Au 3.57, 4 Ac 3.80-3.97, 2 In 3.82
Ac: 0.6524 0.6524 0.4772  1 Au 3.18, 3 In 3.44-3.52
Ac: 0.7905 0.7905 0.1911  3 In 3.45-3.62, 2 Ac 3.77
Ac: 0.9817 0.9817 0.7261  2 Au 3.35, 1 In 3.50, 1 Ac 3.64
In: 0.1860 0.1860 0.2485  9 Ac 3.44-3.82
In: 0.8140 0.8140 0.7515  9 Ac 3.44-3.82
Au: 0.5000 0.5000 0.5000  6 Ac 3.18-3.35

## Properties
V	38.69	A^3/atom
spin magnetization	0.0	μB/f.u.
DFT total energy	-4.053	eV per atom
energy of formation	-0.269	eV per atom

## CaYHoLu (GGA-PBE)

Data for a geometry-optimized CaYHoLu structure.

Cell: 5.7077 5.7077 5.7077 Å, 60.00 60.00 60.00°
Last column: nearest neighbours and their distance in Å.
Element x y z (fractional)
Ca: 0.0000 0.0000 0.0000  4 Ho 3.50, 4 Y 3.50
Y: 0.7500 0.7500 0.7500  4 Lu 3.50, 4 Ca 3.50
Ho: 0.2500 0.2500 0.2500  4 Lu 3.50, 4 Ca 3.50
Lu: 0.5000 0.5000 0.5000  4 Y 3.50, 4 Ho 3.50

## Properties
V	32.87	A^3/atom
spin magnetization	0.0	μB/f.u.
DFT total energy	-4.225	eV per atom
energy of formation	0.166	eV per atom

## DyLuCuAu (GGA-PBE)

Data for a geometry-optimized DyLuCuAu structure.

Cell: 4.9614 4.9614 4.9614 Å, 60.00 60.00 60.00°
Last column: nearest neighbours and their distance in Å.
Element x y z (fractional)
Dy: 0.0000 0.0000 0.0000  4 Cu 3.04, 4 Au 3.04
Lu: 0.5000 0.5000 0.5000  4 Cu 3.04, 4 Au 3.04
Cu: 0.7500 0.7500 0.7500  4 Dy 3.04, 4 Lu 3.04
Au: 0.2500 0.2500 0.2500  4 Dy 3.04, 4 Lu 3.04

## Properties
V	21.59	A^3/atom
spin magnetization	0.0	μB/f.u.
DFT total energy	-4.692	eV per atom
energy of formation	-0.568	eV per atom